DFT (PBE) results for a relaxed SiTe2 crystal.

extended XYZ file:
```
12
Lattice="11.8366 0.0000 0.0000 0.0000 8.6152 0.0000 0.0000 0.0000 3.5372" Properties=species:S:1:pos:R:3 pbc="T T T"
Si 0.0000 0.9550 0.8843
Si 0.0000 7.6602 2.6529
Si 5.9183 3.3526 2.6529
Si 5.9183 5.2626 0.8843
Te 1.5957 2.3709 2.6529
Te 1.5957 6.2443 0.8843
Te 4.3226 1.9367 0.8843
Te 4.3226 6.6785 2.6529
Te 7.5140 1.9367 0.8843
Te 7.5140 6.6785 2.6529
Te 10.2409 2.3709 2.6529
Te 10.2409 6.2443 0.8843
```

DOS(E_F) (states/eV per cell): 5.42
DFT total energy (eV/atom): -3.682
E_form (uncorrected) (eV per atom): 0.220
Magnetization (μB/cell): 0.00